1.
A plane-wave DFT calculation with SCAN was carried out for TeAuCl at its PBEsol-relaxed geometry.

Calculated total energy in eV for the cell shown: -114.8
SG: I4mm, No. 107
Density of states at the Fermi level in states/eV per cell: 1.07
Energy relative to the elements, uncorrected in meV/atom: -130.7
Size of the total moment in μB per atom: 0.0000

```
data_TeAuCl
_chemical_formula_sum 'Te1 Au1 Cl1'
_cell_length_a 6.055
_cell_length_b 6.055
_cell_length_c 6.055
_cell_angle_alpha 142.19
_cell_angle_beta 142.19
_cell_angle_gamma 54.54
_symmetry_space_group_name_H-M 'P 1'
_symmetry_Int_Tables_number 1
_symmetry_space_group_name_Hall 'P 1'
loop_
_atom_site_label
_atom_site_fract_x
_atom_site_fract_y
_atom_site_fract_z
Te1 0.000 0.000 0.000
Au1 0.488 0.488 0.000
Cl1 0.229 0.229 0.000
```

---

2.
A plane-wave DFT calculation with SCAN was carried out for Te3AuCl at its PBEsol-relaxed geometry.

Calculated total energy in eV for the cell shown: -183.5
SG: Pm-3m, No. 221
Density of states at the Fermi level in states/eV per cell: 4.90
Energy relative to the elements, uncorrected in meV/atom: 1070.9
Size of the total moment in μB per atom: 0.0000

```
data_Te3AuCl
_chemical_formula_sum 'Te3 Au1 Cl1'
_cell_length_a 5.222
_cell_length_b 5.222
_cell_length_c 5.222
_cell_angle_alpha 90.00
_cell_angle_beta 90.00
_cell_angle_gamma 90.00
_symmetry_space_group_name_H-M 'P 1'
_symmetry_Int_Tables_number 1
_symmetry_space_group_name_Hall 'P 1'
loop_
_atom_site_label
_atom_site_fract_x
_atom_site_fract_y
_atom_site_fract_z
Te1 0.000 0.000 0.500
Te2 0.000 0.500 0.000
Te3 0.500 0.000 0.000
Au1 0.500 0.500 0.500
Cl1 0.000 0.000 0.000
```

---

3.
A plane-wave DFT calculation with SCAN was carried out for TeAu4Cl at its PBEsol-relaxed geometry.

Calculated total energy in eV for the cell shown: -320.6
SG: F-43m, No. 216
Density of states at the Fermi level in states/eV per cell: 6.75
Energy relative to the elements, uncorrected in meV/atom: 213.3
Size of the total moment in μB per atom: 0.0000

```
data_TeAu4Cl
_chemical_formula_sum 'Te1 Au4 Cl1'
_cell_length_a 5.510
_cell_length_b 5.510
_cell_length_c 5.510
_cell_angle_alpha 60.00
_cell_angle_beta 60.00
_cell_angle_gamma 60.00
_symmetry_space_group_name_H-M 'P 1'
_symmetry_Int_Tables_number 1
_symmetry_space_group_name_Hall 'P 1'
loop_
_atom_site_label
_atom_site_fract_x
_atom_site_fract_y
_atom_site_fract_z
Te1 0.000 0.000 0.000
Au1 0.375 0.375 0.375
Au2 0.375 0.375 0.874
Au3 0.375 0.874 0.375
Au4 0.874 0.375 0.375
Cl1 0.750 0.750 0.750
```

---

4.
A plane-wave DFT calculation with SCAN was carried out for TeAuCl2 at its PBEsol-relaxed geometry.

Calculated total energy in eV for the cell shown: -120.7
SG: P4/mmm, No. 123
Density of states at the Fermi level in states/eV per cell: 2.99
Energy relative to the elements, uncorrected in meV/atom: 405.4
Size of the total moment in μB per atom: 0.0000
Energy above the lowest structure with this stoichiometry in eV/atom: 0.6384

```
data_TeAuCl2
_chemical_formula_sum 'Te1 Au1 Cl2'
_cell_length_a 4.332
_cell_length_b 4.332
_cell_length_c 4.404
_cell_angle_alpha 90.00
_cell_angle_beta 90.00
_cell_angle_gamma 90.00
_symmetry_space_group_name_H-M 'P 1'
_symmetry_Int_Tables_number 1
_symmetry_space_group_name_Hall 'P 1'
loop_
_atom_site_label
_atom_site_fract_x
_atom_site_fract_y
_atom_site_fract_z
Te1 0.000 0.000 0.000
Au1 0.500 0.500 0.000
Cl1 0.000 0.500 0.500
Cl2 0.500 0.000 0.500
```

---

5.
A plane-wave DFT calculation with SCAN was carried out for TiW2AuCl at its PBEsol-relaxed geometry.

Calculated total energy in eV for the cell shown: -222.2
SG: P4/mmm, No. 123
Density of states at the Fermi level in states/eV per cell: 4.76
Energy relative to the elements, uncorrected in meV/atom: 2075.4
Size of the total moment in μB per atom: 0.5290

```
data_TiW2AuCl
_chemical_formula_sum 'Ti1 W2 Au1 Cl1'
_cell_length_a 4.866
_cell_length_b 4.866
_cell_length_c 4.921
_cell_angle_alpha 90.00
_cell_angle_beta 90.00
_cell_angle_gamma 90.00
_symmetry_space_group_name_H-M 'P 1'
_symmetry_Int_Tables_number 1
_symmetry_space_group_name_Hall 'P 1'
loop_
_atom_site_label
_atom_site_fract_x
_atom_site_fract_y
_atom_site_fract_z
Ti1 0.000 0.000 0.000
W1 0.000 0.500 0.500
W2 0.500 0.000 0.500
Au1 0.000 0.000 0.500
Cl1 0.500 0.500 0.000
```

---

6.
A plane-wave DFT calculation with SCAN was carried out for Tl2Au2Cl at its PBEsol-relaxed geometry.

Calculated total energy in eV for the cell shown: -293.0
SG: I4/mmm, No. 139
Density of states at the Fermi level in states/eV per cell: 0.65
Energy relative to the elements, uncorrected in meV/atom: -394.8
Size of the total moment in μB per atom: 0.0000

```
data_Tl2Au2Cl
_chemical_formula_sum 'Tl2 Au2 Cl1'
_cell_length_a 8.831
_cell_length_b 8.831
_cell_length_c 8.831
_cell_angle_alpha 154.99
_cell_angle_beta 154.99
_cell_angle_gamma 35.66
_symmetry_space_group_name_H-M 'P 1'
_symmetry_Int_Tables_number 1
_symmetry_space_group_name_Hall 'P 1'
loop_
_atom_site_label
_atom_site_fract_x
_atom_site_fract_y
_atom_site_fract_z
Tl1 0.103 0.103 0.000
Tl2 0.897 0.897 0.000
Au1 0.250 0.750 0.500
Au2 0.750 0.250 0.500
Cl1 0.500 0.500 0.000
```

---

7.
A plane-wave DFT calculation with SCAN was carried out for TlAuCl2 at its PBEsol-relaxed geometry.

Calculated total energy in eV for the cell shown: -159.9
SG: R-3m, No. 166
Density of states at the Fermi level in states/eV per cell: 0.00
Energy relative to the elements, uncorrected in meV/atom: -606.4
Size of the total moment in μB per atom: 0.0000
Energy above the lowest structure with this stoichiometry in eV/atom: 0.0000

```
data_TlAuCl2
_chemical_formula_sum 'Tl1 Au1 Cl2'
_cell_length_a 7.716
_cell_length_b 7.716
_cell_length_c 7.716
_cell_angle_alpha 37.49
_cell_angle_beta 37.49
_cell_angle_gamma 37.49
_symmetry_space_group_name_H-M 'P 1'
_symmetry_Int_Tables_number 1
_symmetry_space_group_name_Hall 'P 1'
loop_
_atom_site_label
_atom_site_fract_x
_atom_site_fract_y
_atom_site_fract_z
Tl1 0.000 0.000 0.000
Au1 0.500 0.500 0.500
Cl1 0.396 0.396 0.396
Cl2 0.604 0.604 0.604
```

---

8.
A plane-wave DFT calculation with SCAN was carried out for Tl4AuCl at its PBEsol-relaxed geometry.

Calculated total energy in eV for the cell shown: -366.4
SG: F-43m, No. 216
Density of states at the Fermi level in states/eV per cell: 2.41
Energy relative to the elements, uncorrected in meV/atom: 29.5
Size of the total moment in μB per atom: 0.0000

```
data_Tl4AuCl
_chemical_formula_sum 'Tl4 Au1 Cl1'
_cell_length_a 6.175
_cell_length_b 6.175
_cell_length_c 6.175
_cell_angle_alpha 60.00
_cell_angle_beta 60.00
_cell_angle_gamma 60.00
_symmetry_space_group_name_H-M 'P 1'
_symmetry_Int_Tables_number 1
_symmetry_space_group_name_Hall 'P 1'
loop_
_atom_site_label
_atom_site_fract_x
_atom_site_fract_y
_atom_site_fract_z
Tl1 0.125 0.125 0.125
Tl2 0.125 0.125 0.624
Tl3 0.125 0.624 0.125
Tl4 0.624 0.125 0.125
Au1 0.500 0.500 0.500
Cl1 0.750 0.750 0.750
```